Computed, not measured: a relaxed structure of CuTeSCl at the PBE-GGA level of DFT.

a b c (Å): 4.9656 7.8337 12.1066
angles (deg): 66.61 90.00 90.00
Closest atoms and distances in Å follow each position.
Element x y z (fractional)
Cu: 0.8827 0.8173 0.2521  1 S 2.26, 2 Cl 2.31-2.41
Cu: 0.1173 0.1827 0.7479  1 S 2.26, 2 Cl 2.31-2.41
Cu: 0.3827 0.1827 0.2479  1 S 2.26, 2 Cl 2.31-2.41
Cu: 0.6173 0.8173 0.7521  1 S 2.26, 2 Cl 2.31-2.41
Te: 0.5234 0.7063 0.1463  2 S 2.39-2.59, 1 Cu 2.54
Te: 0.4766 0.2937 0.8537  2 S 2.39-2.59, 1 Cu 2.54
Te: 0.0234 0.2937 0.3537  2 S 2.39-2.59, 1 Cu 2.54
Te: 0.9766 0.7063 0.6463  2 S 2.39-2.59, 1 Cu 2.54
S: 0.6971 0.4077 0.1719  1 Cu 2.26, 1 Te 2.39
S: 0.3029 0.5923 0.8281  1 Cu 2.26, 1 Te 2.39
S: 0.1971 0.5923 0.3281  1 Cu 2.26, 1 Te 2.39
S: 0.8029 0.4077 0.6719  1 Cu 2.26, 1 Te 2.39
Cl: 0.6760 0.9400 0.3752  2 Cu 2.31-2.41
Cl: 0.3240 0.0600 0.6248  2 Cu 2.31-2.41
Cl: 0.1760 0.0600 0.1248  2 Cu 2.31-2.41
Cl: 0.8240 0.9400 0.8752  2 Cu 2.31-2.41

## Properties
- V (Å³ per cell) = 432.2
- spin magnetization (μB per cell) = 0.00
- final energy (eV/atom) = -3.593